No. 1
Li2YTe: relaxed, GGA-PBEsol.

abc: 3.9012 3.9012 6.0623
angles: 90.00 90.00 90.00
Element x y z (fractional)
Li  0.0000  0.0000  0.2107
Li  0.0000  0.0000  0.7893
Te  0.5000  0.5000  0.0000
Y  0.5000  0.5000  0.5000

Computed properties:
As for the total energy: -4.066 eV per atom. As for the density of states at the Fermi level: 0.63 states/eV/atom. Its formation energy (no corrections) is -495.9 meV per atom. The value obtained for the excess energy over the best structure of this formula in the dataset is 0.0000 eV per atom.

---

No. 2
MoRuPt2: relaxed, GGA-PBEsol.

abc: 3.3460 3.3460 5.3222
angles: 90.00 90.00 90.00
Element x y z (fractional)
Pt  0.0000  0.0000  0.7522
Pt  0.0000  0.0000  0.2478
Ru  0.5000  0.5000  0.0000
Mo  0.5000  0.5000  0.5000

Computed properties:
As for the total energy: -8.860 eV per atom. For the formation energy from the elements, the calculation gives 107 meV/atom. As for the density of states at the Fermi level: 1.26 states/eV/atom. The value obtained for the excess energy over the best structure of this formula in the dataset is 0.3013 eV per atom.

---

No. 3
Rb2ZrCuSi: relaxed, GGA-PBEsol.

abc: 4.3500 6.2962 6.2962
angles: 90.00 90.00 90.00
Element x y z (fractional)
Zr  0.5000  0.5000  0.5000
Rb  0.0000  0.5000  0.0000
Rb  0.0000  0.0000  0.5000
Cu  0.0000  0.0000  0.0000
Si  0.5000  0.0000  0.0000

Computed properties:
As for the total energy: -3.142 eV per atom. As for the density of states at the Fermi level: 1.53 states/eV/atom. Its formation energy (no corrections) is 1102.0 meV per atom.

---

No. 4
Zn2RuCl: relaxed, GGA-PBEsol.

abc: 2.8933 4.2241 4.6874
angles: 90.00 90.00 90.00
Element x y z (fractional)
Ru  0.0000  0.5000  0.5000
Cl  0.5000  0.0000  0.5000
Zn  0.0000  0.0000  0.0000
Zn  0.5000  0.5000  0.0000

Computed properties:
As for the total energy: -3.472 eV per atom. As for the density of states at the Fermi level: 0.70 states/eV/atom. Its formation energy (no corrections) is 364.2 meV per atom. The value obtained for the excess energy over the best structure of this formula in the dataset is 0.1074 eV per atom.

---

No. 5
LiPr2Ir: relaxed, GGA-PBEsol.

abc: 5.0484 5.0484 5.0484
angles: 60.00 60.00 60.00
Element x y z (fractional)
Pr  0.2500  0.2500  0.2500
Pr  0.7500  0.7500  0.7500
Li  0.0000  0.0000  0.0000
Ir  0.5000  0.5000  0.5000

Computed properties:
As for the total energy: -5.868 eV per atom. For the formation energy from the elements, the calculation gives -329 meV/atom. As for the density of states at the Fermi level: 0.68 states/eV/atom.

---

No. 6
KHfGa3: relaxed, GGA-PBEsol.

abc: 5.2456 5.2456 5.2456
angles: 90.00 90.00 90.00
Element x y z (fractional)
Ga  0.5000  0.0000  0.0000
Ga  0.0000  0.0000  0.5000
Ga  0.0000  0.5000  0.0000
K  0.5000  0.5000  0.5000
Hf  0.0000  0.0000  0.0000

Computed properties:
As for the total energy: -4.027 eV per atom. For the formation energy from the elements, the calculation gives 304 meV/atom. As for the density of states at the Fermi level: 1.30 states/eV/atom. The value obtained for the excess energy over the best structure of this formula in the dataset is 0.0000 eV per atom.